Na2PuGe3Pt4 | PBE-GGA | relaxed

calculated volume = 20.678 A^3/atom
DFT total energy = -59.84 eV for the cell shown
calculated density = 10.3 g/cm3

Cell lengths 4.392, 4.392, 10.718 Å; angles 90.00, 90.00, 90.00 degrees
Last column: magnetic moment on the atom in μB.
Positions (direct):
Pu  0.500  0.500  0.500  5.05
Pt  0.000  0.500  0.344  -0.04
Pt  0.000  0.000  0.000  -0.03
Pt  0.500  0.000  0.656  -0.04
Pt  0.500  0.500  0.000  -0.02
Na  0.500  0.000  0.226  0.00
Na  0.000  0.500  0.774  0.00
Ge  0.000  0.000  0.500  -0.03
Ge  0.000  0.500  0.117  -0.01
Ge  0.500  0.000  0.883  -0.01

***

CaZr2Br | PBE-GGA | relaxed

energy above the lowest structure with this stoichiometry = 0.491 eV per atom
calculated volume = 27.288 A^3/atom
calculated density = 4.6 g/cm3
ΔE_f (raw) = 0.18 eV per atom

Cell lengths 3.359, 5.755, 5.647 Å; angles 90.00, 90.00, 90.00 degrees
Positions (direct):
Zr  0.000  0.000  0.516
Zr  0.000  0.000  0.984
Br  0.500  0.500  0.250
Ca  0.500  0.500  0.750

***

Al2SbRu | PBE-GGA | relaxed

calculated volume = 18.232 A^3/atom
calculated density = 6.3 g/cm3
ΔE_f (raw) = 0.01 eV per atom

Cell lengths 8.502, 8.502, 8.502 Å; angles 21.59, 21.59, 21.59 degrees
Positions (direct):
Al  0.004  0.004  0.004
Al  0.758  0.758  0.758
Sb  0.242  0.242  0.242
Ru  0.497  0.497  0.497

***

CoAs2Ru | PBE-GGA | relaxed

energy above the lowest structure with this stoichiometry = 0.046 eV per atom
calculated volume = 14.411 A^3/atom
calculated density = 8.9 g/cm3

Cell lengths 3.324, 3.324, 5.216 Å; angles 90.00, 90.00, 90.00 degrees
Last column: magnetic moment on the atom in μB.
Positions (direct):
Co  0.000  0.000  0.432  0.02
As  0.500  0.500  0.317  0.00
As  0.000  0.000  0.961  0.01
Ru  0.500  0.500  0.790  0.52

***

LaNd8Y6 | PBE-GGA | relaxed

calculated volume = 34.462 A^3/atom
DFT total energy = -80.12 eV for the cell shown
calculated density = 5.9 g/cm3

Cell lengths 9.203, 9.203, 8.826 Å; angles 58.58, 58.58, 60.00 degrees
Positions (direct):
Y  0.251  0.535  0.119
Y  0.465  0.905  0.881
Y  0.095  0.251  0.119
Y  0.905  0.749  0.881
Y  0.749  0.465  0.881
Y  0.535  0.095  0.119
Nd  0.114  0.752  0.419
Nd  0.285  0.886  0.581
Nd  0.752  0.715  0.419
Nd  0.715  0.114  0.419
Nd  0.577  0.577  0.268
Nd  0.423  0.423  0.732
Nd  0.248  0.285  0.581
Nd  0.886  0.248  0.581
La  0.000  0.000  0.000

***

HfS | PBE-GGA | relaxed

calculated volume = 20.792 A^3/atom
calculated density = 8.4 g/cm3
ΔE_f (raw) = -1.01 eV per atom

Cell lengths 3.432, 3.432, 8.153 Å; angles 90.00, 90.00, 120.00 degrees
Positions (direct):
S  0.000  0.000  0.339
S  0.333  0.667  0.839
Hf  0.333  0.667  0.536
Hf  0.000  0.000  0.036

***

CsKPtBr6 | PBE-GGA | relaxed

calculated volume = 43.527 A^3/atom
calculated density = 3.6 g/cm3
ΔE_f (raw) = -0.93 eV per atom

Cell lengths 7.890, 7.890, 7.277 Å; angles 90.04, 89.97, 59.85 degrees
Positions (direct):
Br  0.336  0.074  0.702
Br  0.589  0.337  0.702
Br  0.074  0.336  0.298
Br  0.072  0.592  0.700
Br  0.592  0.072  0.300
Br  0.337  0.589  0.298
Pt  0.333  0.333  0.500
Cs  0.000  0.000  0.000
K  0.666  0.666  0.500

***

Tb4AlZnCu2 | PBE-GGA | relaxed

calculated volume = 22.467 A^3/atom
DFT total energy = -33.92 eV for the cell shown
calculated density = 7.9 g/cm3

Cell lengths 5.028, 5.028, 8.708 Å; angles 73.22, 73.22, 60.00 degrees
Positions (direct):
Tb  0.127  0.127  0.620
Tb  0.623  0.623  0.131
Tb  0.873  0.873  0.380
Tb  0.377  0.377  0.869
Zn  0.500  0.500  0.500
Al  0.000  0.000  0.000
Cu  0.746  0.746  0.763
Cu  0.254  0.254  0.237